Mg2ScSi after structural relaxation. Source: Alexandria via LeMat-Bulk, functional PBE.

Calculated values
Crystal system = trigonal
Magnetic moment = 0.000 μB per cell
E_form (uncorrected) = 0.004 eV/atom

Cell: 3.1973 3.1973 28.7572 Å, 90.00 90.00 120.00°
With the nearest neighbours (Å) after each atom.
Space group R3m (No. 160, hexagonal axes)
Unique sites:
Mg 0.0000 0.0000 0.0000 [3 per cell]  9 Mg 3.20-3.24, 3 Sc 3.28
Mg 0.0000 0.0000 0.2408 [3 per cell]  3 Si 2.82
Sc 0.0000 0.0000 0.7609 [3 per cell]  3 Si 2.79
Si 0.0000 0.0000 0.5002 [3 per cell]  3 Sc 2.79, 3 Mg 2.82